Density functional theory data (GGA-PBE) for a relaxed structure of BaCaY2Fe.

Energy of formation (eV per formula unit): 0.83
DOS(E_F) (states/eV per atom): 1.138
Calculated total energy (eV/atom): -4.90
Spin magnetization (μB/f.u.): 0.4

Cell lengths 5.325, 5.325, 5.943 Å; angles 90.00, 90.00, 90.00 degrees
Space group P4/mmm (No. 123)
Unique sites:
1 Ba 0.000 0.000 0.000
2 Ca 0.500 0.500 0.000
3 Y 0.000 0.500 0.500
4 Fe 0.500 0.500 0.500

---

Density functional theory data (GGA-PBE) for a relaxed structure of InS2N.

DOS(E_F) (states/eV per atom): 0.586
Calculated total energy (eV/atom): -4.08
Spin magnetization (μB/f.u.): 0.0

Cell lengths 5.320, 5.320, 11.001 Å; angles 90.00, 90.00, 90.00 degrees
Space group I-42d (No. 122)
Unique sites:
1 In 0.000 0.000 0.000
2 S 0.118 0.250 0.625
3 N 0.000 0.000 0.500

---

Density functional theory data (GGA-PBE) for a relaxed structure of Cl5F2.

DOS(E_F) (states/eV per atom): 0.450
Calculated total energy (eV/atom): -1.94
Spin magnetization (μB/f.u.): 1.1

Cell lengths 6.457, 7.046, 8.983 Å; angles 90.00, 93.19, 90.00 degrees
Space group C2/m (No. 12)
Unique sites:
1 Cl 0.000 0.000 0.000
2 Cl 0.169 0.000 0.477
3 Cl 0.201 0.500 0.107
4 F 0.156 0.500 0.660

---

Density functional theory data (GGA-PBE) for a relaxed structure of Pa2AsPbO8.

DOS(E_F) (states/eV per atom): 0.327
Calculated total energy (eV/atom): -8.00
Spin magnetization (μB/f.u.): 0.0

Cell lengths 7.026, 7.309, 7.150 Å; angles 90.00, 90.00, 90.00 degrees
Space group Cmmm (No. 65)
Unique sites:
1 Pa 0.000 0.000 0.243
2 As 0.000 0.500 0.000
3 Pb 0.000 0.500 0.500
4 O 0.000 0.170 0.500
5 O 0.000 0.193 0.000
6 O 0.196 0.500 0.203

---

Density functional theory data (GGA-PBE) for a relaxed structure of Ac2TmMgSe6.

DOS(E_F) (states/eV per atom): 0.699
Calculated total energy (eV/atom): -5.20
Spin magnetization (μB/f.u.): 0.0

Cell lengths 6.838, 7.909, 12.266 Å; angles 90.00, 122.56, 90.00 degrees
Space group P2_1/c (No. 14)
Unique sites:
1 Ac 0.203 0.105 0.248
2 Tm 0.500 0.000 0.000
3 Mg 0.000 0.000 0.500
4 Se 0.109 0.185 0.945
5 Se 0.275 0.683 0.945
6 Se 0.358 0.028 0.743

---

Density functional theory data (GGA-PBE) for a relaxed structure of Cu5SiPt6.

DOS(E_F) (states/eV per atom): 0.597
Calculated total energy (eV/atom): -5.48
Spin magnetization (μB/f.u.): 0.0

Cell lengths 4.036, 12.060, 6.822 Å; angles 90.00, 90.00, 90.00 degrees
Space group Cmmm (No. 65)
Unique sites:
1 Cu 0.000 0.000 0.000
2 Cu 0.000 0.324 0.500
3 Cu 0.000 0.335 0.000
4 Si 0.000 0.000 0.500
5 Pt 0.000 0.163 0.252
6 Pt 0.000 0.500 0.272

---

Density functional theory data (GGA-PBE) for a relaxed structure of La2NiTe2.

DOS(E_F) (states/eV per atom): 1.643
Calculated total energy (eV/atom): -5.22
Spin magnetization (μB/f.u.): 0.3

Cell lengths 8.256, 8.256, 4.442 Å; angles 90.00, 90.00, 90.00 degrees
Space group P4/mbm (No. 127)
Unique sites:
1 La 0.163 0.337 0.000
2 Ni 0.000 0.000 0.000
3 Te 0.148 0.648 0.500

---

Density functional theory data (GGA-PBE) for a relaxed structure of Ir5W4.

Energy of formation (eV per formula unit): -0.77
DOS(E_F) (states/eV per atom): 0.660
Calculated total energy (eV/atom): -10.77
Spin magnetization (μB/f.u.): 0.0

Cell lengths 7.6481, 7.6481, 5.4963 Å; angles 90.00, 90.00, 120.00 degrees
Space group P6_3/mcm (No. 193)
Unique sites:
1 Ir 0.0000 0.3346 0.2500
2 Ir 0.3333 0.6667 0.0000
3 W 0.0000 0.0000 0.0000
4 W 0.0000 0.3288 0.7500

---

Density functional theory data (GGA-PBE) for a relaxed structure of RbScRe2.

Energy of formation (eV per formula unit): 6.02
DOS(E_F) (states/eV per atom): 0.652
Calculated total energy (eV/atom): -6.54
Spin magnetization (μB/f.u.): 0.0

Cell lengths 4.340, 4.340, 20.068 Å; angles 90.00, 90.00, 90.00 degrees
Space group I-42d (No. 122)
Unique sites:
1 Rb 0.000 0.000 0.000
2 Sc 0.000 0.000 0.500
3 Re 0.141 0.750 0.625

---

Density functional theory data (GGA-PBE) for a relaxed structure of TbPmCo.

Energy of formation (eV per formula unit): -0.01
DOS(E_F) (states/eV per atom): 0.987
Calculated total energy (eV/atom): -5.50
Spin magnetization (μB/f.u.): 0.0

Cell lengths 6.722, 6.722, 6.722 Å; angles 90.00, 90.00, 90.00 degrees
Space group F-43m (No. 216)
Unique sites:
1 Tb 0.000 0.000 0.000
2 Pm 0.000 0.000 0.500
3 Co 0.250 0.250 0.750

---

Density functional theory data (GGA-PBE) for a relaxed structure of Dy4AgTeSe2.

DOS(E_F) (states/eV per atom): 0.591
Calculated total energy (eV/atom): -5.16
Spin magnetization (μB/f.u.): 0.0

Cell lengths 7.195, 4.054, 7.453 Å; angles 90.00, 107.67, 90.00 degrees
Space group P2/m (No. 10)
Unique sites:
1 Dy 0.235 0.000 0.230
2 Dy 0.246 0.500 0.761
3 Ag 0.000 0.000 0.500
4 Te 0.500 0.500 0.500
5 Se 0.000 0.500 0.000
6 Se 0.500 0.000 0.000

---

Density functional theory data (GGA-PBE) for a relaxed structure of YHg3Bi.

Energy of formation (eV per formula unit): 2.48
DOS(E_F) (states/eV per atom): 0.884
Calculated total energy (eV/atom): -1.75
Spin magnetization (μB/f.u.): 0.0

Cell lengths 5.646, 5.646, 5.646 Å; angles 90.00, 90.00, 90.00 degrees
Space group Pm-3m (No. 221)
Unique sites:
1 Y 0.000 0.000 0.000
2 Hg 0.000 0.500 0.500
3 Bi 0.500 0.500 0.500